(1)
A relaxed PmNdPb4 crystal. Source: Alexandria, functional PBE-GGA.

The structure in extended XYZ format:
```
12
Lattice="8.3781 0.2622 0.0000 -1.9543 6.4075 0.0000 -3.2119 -3.3348 7.0367" Properties=species:S:1:pos:R:3 pbc="T T T"
Pb -0.8933 0.8531 6.0178
Nd 2.0945 0.0655 4.7074
Pb -0.5588 0.4609 2.6819
Nd 1.1174 3.2693 2.3294
Pb 6.5076 4.3190 1.0189
Pb 4.1051 2.4817 1.0189
Pb 3.7706 2.8740 4.3549
Pb 4.7478 -0.3298 2.6819
Pb -1.5360 3.6646 4.3549
Pm 2.0945 0.0655 0.2725
Pb -3.2958 -0.9842 6.0178
Pm 1.1173 3.2693 6.7642
```

Calculated values
total DFT energy (no corrections) = -4.30 eV per atom
crystal system = monoclinic
DOS at the Fermi energy = 0.648 states/eV per atom
symmetry = C2/c, No. 15
E_form = -244 meV/atom



(2)
A relaxed Pm5Nd8Pb crystal. Source: Alexandria, functional PBE-GGA.

The structure in extended XYZ format:
```
14
Lattice="8.4296 -0.0156 -2.0860 -4.5996 6.5652 -3.2698 0.7511 0.0156 8.6514" Properties=species:S:1:pos:R:3 pbc="T T T"
Pm 4.2186 4.6282 1.9022
Nd 2.0045 1.9450 2.5685
Pm 2.9222 0.2619 7.3404
Nd 1.7821 3.7072 -0.7526
Nd 1.5121 5.2304 3.8066
Nd -1.5210 4.6201 -2.2032
Pm 5.4149 0.0000 3.8723
Pm 3.2914 6.3033 -2.8775
Nd 4.4450 2.8580 5.2252
Nd 0.2426 1.3504 5.5819
Nd 4.7086 1.3381 0.6546
Pm 6.9939 1.9214 -1.9786
Pb -1.1086 3.2904 3.2740
Nd -2.4580 5.2271 0.9744
```

Calculated values
total DFT energy (no corrections) = -4.62 eV per atom
crystal system = monoclinic
DOS at the Fermi energy = 1.500 states/eV per atom
symmetry = C2, No. 5
E_form = 65 meV/atom



(3)
A relaxed PmNdPb2 crystal. Source: Alexandria, functional PBE-GGA.

The structure in extended XYZ format:
```
4
Lattice="3.6087 0.0000 0.0000 0.0000 3.6087 0.0000 0.0000 0.0000 9.2033" Properties=species:S:1:pos:R:3 pbc="T T T"
Pb 0.0000 0.0000 6.9178
Nd 1.8043 1.8043 4.6016
Pb 0.0000 0.0000 2.2855
Pm 1.8043 1.8043 0.0000
```

Calculated values
total DFT energy (no corrections) = -4.74 eV per atom
crystal system = tetragonal
DOS at the Fermi energy = 1.164 states/eV per atom
symmetry = P4/mmm, No. 123
E_form = -508 meV/atom